# Li2Y2Mg3 | Alexandria | PBE | relaxed
# * final energy: -43.6 eV/cell
data_Li2Y2Mg3
_chemical_formula_sum 'Li4 Y4 Mg6'
_cell_length_a 4.0005
_cell_length_b 23.7544
_cell_length_c 3.6176
_cell_angle_alpha 90.00
_cell_angle_beta 90.00
_cell_angle_gamma 90.00
_space_group_name_H-M_alt 'C m m m'
_space_group_IT_number 65
_space_group_name_Hall '-C 2 2'
loop_
_atom_site_label
_atom_site_type_symbol
_atom_site_fract_x
_atom_site_fract_y
_atom_site_fract_z
Li1 Li 0.0000 0.2147 0.0000
Y1 Y 0.0000 0.0774 0.0000
Mg1 Mg 0.0000 0.3373 0.5000
Mg2 Mg 0.0000 0.5000 0.5000

---

# Li2Y3Mg9 | Alexandria | PBE | relaxed
# * final energy: -75.7 eV/cell
data_Li2Y3Mg9
_chemical_formula_sum 'Li4 Y6 Mg18'
_cell_length_a 5.0045
_cell_length_b 11.2277
_cell_length_c 12.3033
_cell_angle_alpha 90.00
_cell_angle_beta 90.00
_cell_angle_gamma 90.00
_space_group_name_H-M_alt 'I m m m'
_space_group_IT_number 71
_space_group_name_Hall '-I 2 2'
loop_
_atom_site_label
_atom_site_type_symbol
_atom_site_fract_x
_atom_site_fract_y
_atom_site_fract_z
Li1 Li 0.0000 0.1567 0.0000
Y1 Y 0.0000 0.0000 0.2168
Y2 Y 0.0000 0.0000 0.5000
Mg1 Mg 0.0000 0.2711 0.3606
Mg2 Mg 0.0000 0.3709 0.1332
Mg3 Mg 0.0000 0.5000 0.5000

---

# LiYMg2 | Alexandria | PBE | relaxed
# * final energy: -23.0 eV/cell
data_LiYMg2
_chemical_formula_sum 'Li2 Y2 Mg4'
_cell_length_a 3.6870
_cell_length_b 5.2882
_cell_length_c 9.9944
_cell_angle_alpha 90.00
_cell_angle_beta 90.00
_cell_angle_gamma 90.00
_space_group_name_H-M_alt 'I m m m'
_space_group_IT_number 71
_space_group_name_Hall '-I 2 2'
loop_
_atom_site_label
_atom_site_type_symbol
_atom_site_fract_x
_atom_site_fract_y
_atom_site_fract_z
Li1 Li 0.0000 0.0000 0.0000
Y1 Y 0.0000 0.0000 0.5000
Mg1 Mg 0.0000 0.5000 0.2776

---

# LiYMg3 | Alexandria | PBE | relaxed
# * final energy: -26.6 eV/cell
data_LiYMg3
_chemical_formula_sum 'Li2 Y2 Mg6'
_cell_length_a 7.9500
_cell_length_b 3.3988
_cell_length_c 9.4046
_cell_angle_alpha 90.00
_cell_angle_beta 107.81
_cell_angle_gamma 90.00
_space_group_name_H-M_alt 'P 1 21 1'
_space_group_IT_number 4
_space_group_name_Hall 'P 2yb'
loop_
_atom_site_label
_atom_site_type_symbol
_atom_site_fract_x
_atom_site_fract_y
_atom_site_fract_z
Li1 Li 0.0039 0.0000 0.2499
Y1 Y 0.3702 0.0020 0.8396
Mg1 Mg 0.1774 0.5038 0.5193
Mg2 Mg 0.1874 0.5052 0.0721
Mg3 Mg 0.4034 0.0040 0.3577

---

# LiYMg5 | Alexandria | PBE | relaxed
# * final energy: -32.2 eV/cell
data_LiYMg5
_chemical_formula_sum 'Li2 Y2 Mg10'
_cell_length_a 5.5990
_cell_length_b 9.1851
_cell_length_c 6.9412
_cell_angle_alpha 90.00
_cell_angle_beta 108.83
_cell_angle_gamma 90.00
_space_group_name_H-M_alt 'C 1 2/m 1'
_space_group_IT_number 12
_space_group_name_Hall '-C 2y'
loop_
_atom_site_label
_atom_site_type_symbol
_atom_site_fract_x
_atom_site_fract_y
_atom_site_fract_z
Li1 Li 0.0000 0.0000 0.0000
Y1 Y 0.0000 0.5000 0.5000
Mg1 Mg 0.0000 0.5000 0.0000
Mg2 Mg 0.1043 0.1895 0.7321

---

# LiYMg3 | Alexandria | PBE | relaxed
# * final energy: -8.7 eV/cell
data_LiYMg3
_chemical_formula_sum 'Li1 Y1 Mg3'
_cell_length_a 6.0090
_cell_length_b 6.0090
_cell_length_c 6.0090
_cell_angle_alpha 90.00
_cell_angle_beta 90.00
_cell_angle_gamma 90.00
_space_group_name_H-M_alt 'P m -3 m'
_space_group_IT_number 221
_space_group_name_Hall '-P 4 2 3'
loop_
_atom_site_label
_atom_site_type_symbol
_atom_site_fract_x
_atom_site_fract_y
_atom_site_fract_z
Li1 Li 0.0000 0.0000 0.0000
Y1 Y 0.5000 0.5000 0.5000
Mg1 Mg 0.0000 0.5000 0.5000

---

# LiYMg6 | Alexandria | PBE | relaxed
# * final energy: -35.9 eV/cell
data_LiYMg6
_chemical_formula_sum 'Li2 Y2 Mg12'
_cell_length_a 5.1256
_cell_length_b 6.3913
_cell_length_c 11.7358
_cell_angle_alpha 90.00
_cell_angle_beta 90.00
_cell_angle_gamma 90.00
_space_group_name_H-M_alt 'A m m 2'
_space_group_IT_number 38
_space_group_name_Hall 'A 2 -2'
loop_
_atom_site_label
_atom_site_type_symbol
_atom_site_fract_x
_atom_site_fract_y
_atom_site_fract_z
Li1 Li 0.0000 0.0000 0.0000
Y1 Y 0.5000 0.0000 0.1614
Mg1 Mg 0.0000 0.0000 0.5230
Mg2 Mg 0.0000 0.2482 0.2671
Mg3 Mg 0.5000 0.0000 0.6834
Mg4 Mg 0.5000 0.2493 0.9171

---

# LiYMg2 | Alexandria | PBE | relaxed
# * final energy: -11.6 eV/cell
data_LiYMg2
_chemical_formula_sum 'Li1 Y1 Mg2'
_cell_length_a 3.3690
_cell_length_b 5.3553
_cell_length_c 5.6460
_cell_angle_alpha 90.00
_cell_angle_beta 90.00
_cell_angle_gamma 90.00
_space_group_name_H-M_alt 'P m m 2'
_space_group_IT_number 25
_space_group_name_Hall 'P 2 -2'
loop_
_atom_site_label
_atom_site_type_symbol
_atom_site_fract_x
_atom_site_fract_y
_atom_site_fract_z
Li1 Li 0.0000 0.0000 0.0000
Y1 Y 0.0000 0.5000 0.3683
Mg1 Mg 0.5000 0.0000 0.5195
Mg2 Mg 0.5000 0.5000 0.8596

---

# LiY2MgZr | Alexandria | PBE | relaxed
# * final energy: -20.7 eV/cell
data_LiY2MgZr
_chemical_formula_sum 'Li1 Y2 Mg1 Zr1'
_cell_length_a 5.5902
_cell_length_b 5.5902
_cell_length_c 5.2978
_cell_angle_alpha 90.00
_cell_angle_beta 90.00
_cell_angle_gamma 90.00
_space_group_name_H-M_alt 'P 4/m m m'
_space_group_IT_number 123
_space_group_name_Hall '-P 4 2'
loop_
_atom_site_label
_atom_site_type_symbol
_atom_site_fract_x
_atom_site_fract_y
_atom_site_fract_z
Li1 Li 0.0000 0.0000 0.0000
Y1 Y 0.0000 0.5000 0.5000
Mg1 Mg 0.5000 0.5000 0.5000
Zr1 Zr 0.5000 0.5000 0.0000

---

# Li12MgZn3 | Alexandria | PBE | relaxed
# * final energy: -29.5 eV/cell
data_Li12MgZn3
_chemical_formula_sum 'Li12 Mg1 Zn3'
_cell_length_a 4.1928
_cell_length_b 4.1928
_cell_length_c 15.8805
_cell_angle_alpha 90.00
_cell_angle_beta 90.00
_cell_angle_gamma 90.00
_space_group_name_H-M_alt 'P 4/m m m'
_space_group_IT_number 123
_space_group_name_Hall '-P 4 2'
loop_
_atom_site_label
_atom_site_type_symbol
_atom_site_fract_x
_atom_site_fract_y
_atom_site_fract_z
Li1 Li 0.0000 0.0000 0.0000
Li2 Li 0.0000 0.0000 0.2395
Li3 Li 0.0000 0.0000 0.5000
Li4 Li 0.0000 0.5000 0.1196
Li5 Li 0.0000 0.5000 0.3604
Mg1 Mg 0.5000 0.5000 0.5000
Zn1 Zn 0.5000 0.5000 0.0000
Zn2 Zn 0.5000 0.5000 0.2408

---

# LiMg3Zn | Alexandria | PBE | relaxed
# * final energy: -7.1 eV/cell
data_LiMg3Zn
_chemical_formula_sum 'Li1 Mg3 Zn1'
_cell_length_a 5.0416
_cell_length_b 5.0416
_cell_length_c 5.0416
_cell_angle_alpha 90.00
_cell_angle_beta 90.00
_cell_angle_gamma 90.00
_space_group_name_H-M_alt 'P m -3 m'
_space_group_IT_number 221
_space_group_name_Hall '-P 4 2 3'
loop_
_atom_site_label
_atom_site_type_symbol
_atom_site_fract_x
_atom_site_fract_y
_atom_site_fract_z
Li1 Li 0.0000 0.0000 0.0000
Mg1 Mg 0.0000 0.5000 0.5000
Zn1 Zn 0.5000 0.5000 0.5000

---

# LiMgZn10 | Alexandria | PBE | relaxed
# * final energy: -16.7 eV/cell
data_LiMgZn10
_chemical_formula_sum 'Li1 Mg1 Zn10'
_cell_length_a 4.3071
_cell_length_b 5.1435
_cell_length_c 8.9284
_cell_angle_alpha 90.00
_cell_angle_beta 90.00
_cell_angle_gamma 90.00
_space_group_name_H-M_alt 'P m m m'
_space_group_IT_number 47
_space_group_name_Hall '-P 2 2'
loop_
_atom_site_label
_atom_site_type_symbol
_atom_site_fract_x
_atom_site_fract_y
_atom_site_fract_z
Li1 Li 0.0000 0.0000 0.0000
Mg1 Mg 0.0000 0.5000 0.5000
Zn1 Zn 0.0000 0.0000 0.3308
Zn2 Zn 0.0000 0.5000 0.1627
Zn3 Zn 0.5000 0.0000 0.5000
Zn4 Zn 0.5000 0.2495 0.2490
Zn5 Zn 0.5000 0.5000 0.0000

---

# Li12Mg6Zn | Alexandria | PBE | relaxed
# * final energy: -102.8 eV/cell
data_Li12Mg6Zn
_chemical_formula_sum 'Li36 Mg18 Zn3'
_cell_length_a 10.5193
_cell_length_b 10.5193
_cell_length_c 12.2199
_cell_angle_alpha 90.00
_cell_angle_beta 90.00
_cell_angle_gamma 120.00
_space_group_name_H-M_alt 'R -3'
_space_group_IT_number 148
_space_group_name_Hall '-R 3'
loop_
_atom_site_label
_atom_site_type_symbol
_atom_site_fract_x
_atom_site_fract_y
_atom_site_fract_z
Li1 Li 0.0390 0.1794 0.3122
Li2 Li 0.0605 0.8558 0.9085
Mg1 Mg 0.0300 0.4357 0.2092
Zn1 Zn 0.0000 0.0000 0.5000

---

# LiMg8Zn2 | Alexandria | PBE | relaxed
# * final energy: -35.0 eV/cell
data_LiMg8Zn2
_chemical_formula_sum 'Li2 Mg16 Zn4'
_cell_length_a 14.9576
_cell_length_b 4.5641
_cell_length_c 7.1785
_cell_angle_alpha 90.00
_cell_angle_beta 111.11
_cell_angle_gamma 90.00
_space_group_name_H-M_alt 'C 1 2/m 1'
_space_group_IT_number 12
_space_group_name_Hall '-C 2y'
loop_
_atom_site_label
_atom_site_type_symbol
_atom_site_fract_x
_atom_site_fract_y
_atom_site_fract_z
Li1 Li 0.0000 0.0000 0.0000
Mg1 Mg 0.0450 0.5000 0.7352
Mg2 Mg 0.1056 0.0000 0.4683
Mg3 Mg 0.1527 0.5000 0.2193
Mg4 Mg 0.1805 0.0000 0.9269
Zn1 Zn 0.2216 0.5000 0.6577

---

# Li7MgZn2 | Alexandria | PBE | relaxed
# * final energy: -17.7 eV/cell
data_Li7MgZn2
_chemical_formula_sum 'Li7 Mg1 Zn2'
_cell_length_a 4.5738
_cell_length_b 4.5738
_cell_length_c 9.8904
_cell_angle_alpha 90.00
_cell_angle_beta 90.00
_cell_angle_gamma 120.00
_space_group_name_H-M_alt 'P 3 m 1'
_space_group_IT_number 156
_space_group_name_Hall 'P 3 -2"'
loop_
_atom_site_label
_atom_site_type_symbol
_atom_site_fract_x
_atom_site_fract_y
_atom_site_fract_z
Li1 Li 0.0000 0.0000 0.0000
Li2 Li 0.0000 0.0000 0.2531
Li3 Li 0.0000 0.0000 0.7405
Li4 Li 0.3333 0.6667 0.0949
Li5 Li 0.3333 0.6667 0.6851
Li6 Li 0.6667 0.3333 0.2644
Li7 Li 0.6667 0.3333 0.5468
Mg1 Mg 0.6667 0.3333 0.8866
Zn1 Zn 0.0000 0.0000 0.4922
Zn2 Zn 0.3333 0.6667 0.3992

---

# Li4Mg5Zn | Alexandria | PBE | relaxed
# * final energy: -17.6 eV/cell
data_Li4Mg5Zn
_chemical_formula_sum 'Li4 Mg5 Zn1'
_cell_length_a 3.4493
_cell_length_b 3.4493
_cell_length_c 16.4664
_cell_angle_alpha 90.00
_cell_angle_beta 90.00
_cell_angle_gamma 90.00
_space_group_name_H-M_alt 'P 4/m m m'
_space_group_IT_number 123
_space_group_name_Hall '-P 4 2'
loop_
_atom_site_label
_atom_site_type_symbol
_atom_site_fract_x
_atom_site_fract_y
_atom_site_fract_z
Li1 Li 0.0000 0.0000 0.1013
Li2 Li 0.0000 0.0000 0.3046
Mg1 Mg 0.5000 0.5000 0.0000
Mg2 Mg 0.5000 0.5000 0.2027
Mg3 Mg 0.5000 0.5000 0.4043
Zn1 Zn 0.0000 0.0000 0.5000

---

# Li2Mg3Zn9 | Alexandria | PBE | relaxed
# * final energy: -42.2 eV/cell
data_Li2Mg3Zn9
_chemical_formula_sum 'Li4 Mg6 Zn18'
_cell_length_a 4.2902
_cell_length_b 8.6714
_cell_length_c 12.9843
_cell_angle_alpha 90.00
_cell_angle_beta 90.00
_cell_angle_gamma 90.00
_space_group_name_H-M_alt 'I m m m'
_space_group_IT_number 71
_space_group_name_Hall '-I 2 2'
loop_
_atom_site_label
_atom_site_type_symbol
_atom_site_fract_x
_atom_site_fract_y
_atom_site_fract_z
Li1 Li 0.0000 0.2071 0.0000
Mg1 Mg 0.0000 0.0000 0.1939
Mg2 Mg 0.0000 0.0000 0.5000
Zn1 Zn 0.0000 0.2716 0.3794
Zn2 Zn 0.0000 0.3532 0.1830
Zn3 Zn 0.0000 0.5000 0.5000

---

# Li12MgZn2 | Alexandria | PBE | relaxed
# * final energy: -108.8 eV/cell
data_Li12MgZn2
_chemical_formula_sum 'Li48 Mg4 Zn8'
_cell_length_a 5.6070
_cell_length_b 10.1071
_cell_length_c 19.4223
_cell_angle_alpha 90.00
_cell_angle_beta 90.00
_cell_angle_gamma 90.00
_space_group_name_H-M_alt 'C m m e'
_space_group_IT_number 67
_space_group_name_Hall '-C 2a 2'
loop_
_atom_site_label
_atom_site_type_symbol
_atom_site_fract_x
_atom_site_fract_y
_atom_site_fract_z
Li1 Li 0.0000 0.0003 0.0771
Li2 Li 0.0000 0.1203 0.5000
Li3 Li 0.2500 0.0000 0.2193
Li4 Li 0.2500 0.0000 0.3565
Li5 Li 0.2500 0.2500 0.1419
Li6 Li 0.2500 0.2500 0.3861
Mg1 Mg 0.0000 0.2500 0.9997
Zn1 Zn 0.0000 0.2500 0.2672
Zn2 Zn 0.0000 0.2500 0.7328

---

# Li5Mg2Zn2 | Alexandria | PBE | relaxed
# * final energy: -61.7 eV/cell
data_Li5Mg2Zn2
_chemical_formula_sum 'Li20 Mg8 Zn8'
_cell_length_a 15.0466
_cell_length_b 6.7836
_cell_length_c 6.7763
_cell_angle_alpha 90.00
_cell_angle_beta 90.00
_cell_angle_gamma 90.00
_space_group_name_H-M_alt 'C m c e'
_space_group_IT_number 64
_space_group_name_Hall '-C 2ac 2'
loop_
_atom_site_label
_atom_site_type_symbol
_atom_site_fract_x
_atom_site_fract_y
_atom_site_fract_z
Li1 Li 0.0000 0.0000 0.0000
Li2 Li 0.1213 0.1909 0.3114
Mg1 Mg 0.2323 0.0000 0.0000
Zn1 Zn 0.0000 0.1265 0.6252

---

# Li4Mg4Zn3 | Alexandria | PBE | relaxed
# * final energy: -18.9 eV/cell
data_Li4Mg4Zn3
_chemical_formula_sum 'Li4 Mg4 Zn3'
_cell_length_a 2.9351
_cell_length_b 4.6044
_cell_length_c 14.9009
_cell_angle_alpha 98.23
_cell_angle_beta 91.95
_cell_angle_gamma 90.60
_space_group_name_H-M_alt 'P -1'
_space_group_IT_number 2
_space_group_name_Hall '-P 1'
loop_
_atom_site_label
_atom_site_type_symbol
_atom_site_fract_x
_atom_site_fract_y
_atom_site_fract_z
Li1 Li 0.1782 0.4561 0.4155
Li2 Li 0.2379 0.8183 0.1414
Mg1 Mg 0.2058 0.0940 0.6825
Mg2 Mg 0.2506 0.7208 0.9401
Zn1 Zn 0.3153 0.3628 0.2339
Zn2 Zn 0.5000 0.0000 0.5000

---

# Li5Mg5Zn2 | Alexandria | PBE | relaxed
# * final energy: -42.3 eV/cell
data_Li5Mg5Zn2
_chemical_formula_sum 'Li10 Mg10 Zn4'
_cell_length_a 13.9939
_cell_length_b 4.7406
_cell_length_c 8.2138
_cell_angle_alpha 90.00
_cell_angle_beta 123.91
_cell_angle_gamma 90.00
_space_group_name_H-M_alt 'C 1 2/m 1'
_space_group_IT_number 12
_space_group_name_Hall '-C 2y'
loop_
_atom_site_label
_atom_site_type_symbol
_atom_site_fract_x
_atom_site_fract_y
_atom_site_fract_z
Li1 Li 0.0000 0.0000 0.0000
Li2 Li 0.0698 0.0000 0.3973
Li3 Li 0.2454 0.0000 0.2105
Mg1 Mg 0.0000 0.5000 0.5000
Mg2 Mg 0.0971 0.5000 0.9259
Mg3 Mg 0.1792 0.5000 0.3518
Zn1 Zn 0.1565 0.0000 0.7935

---

Number 1: calculated density 2556 kg/m3. Number 2: calculated density 2399 kg/m3. Number 3: calculated density 2462 kg/m3. Number 4: calculated density 2317 kg/m3. Number 5: calculated density 2137 kg/m3. Number 6: calculated density 1292 kg/m3. Number 7: calculated density 2088 kg/m3. Number 8: calculated density 2355 kg/m3. Number 9: calculated density 3012 kg/m3. Number 10: calculated density 1807 kg/m3. Number 11: calculated density 1882 kg/m3. Number 12: calculated density 5754 kg/m3. Number 13: calculated density 1253 kg/m3. Number 14: calculated density 2413 kg/m3. Number 15: calculated density 1888 kg/m3. Number 16: calculated density 1820 kg/m3. Number 17: calculated density 4644 kg/m3. Number 18: calculated density 1439 kg/m3. Number 19: calculated density 2056 kg/m3. Number 20: calculated density 2678 kg/m3. Number 21: calculated density 2108 kg/m3.